# 1
VASP calculation (PBE-GGA) on a relaxed structure of Nd2TmZn2Sn2.

It has space group R-3m (No. 166, hexagonal axes), with a = 4.6985 Å, b = 4.6985 Å, c = 28.0919 Å, α = 90.00°, β = 90.00° and γ = 120.00°. The asymmetric unit holds Nd at (0.0000, 0.0000, 0.1284), Tm at (0.0000, 0.0000, 0.0000), Zn at (0.0000, 0.0000, 0.4099) and Sn at (0.0000, 0.0000, 0.2717).

# 2
VASP calculation (PBE-GGA) on a relaxed structure of Nd3USn12.

It has space group P4/mmm (No. 123), with a = 4.7408 Å, b = 4.7408 Å, c = 18.9081 Å, α = 90.00°, β = 90.00° and γ = 90.00°. The asymmetric unit holds Nd at (0.0000, 0.0000, 0.0000), Nd at (0.0000, 0.0000, 0.2568), U at (0.0000, 0.0000, 0.5000), Sn at (0.0000, 0.5000, 0.1276), Sn at (0.0000, 0.5000, 0.3808), Sn at (0.5000, 0.5000, 0.0000), Sn at (0.5000, 0.5000, 0.2528) and Sn at (0.5000, 0.5000, 0.5000).

# 3
VASP calculation (PBE-GGA) on a relaxed structure of NdUSn2.

It has space group R-3m (No. 166, hexagonal axes), with a = 3.2541 Å, b = 3.2541 Å, c = 36.1284 Å, α = 90.00°, β = 90.00° and γ = 120.00°. The asymmetric unit holds Nd at (0.0000, 0.0000, 0.0000), U at (0.0000, 0.0000, 0.5000) and Sn at (0.0000, 0.0000, 0.0899).

# 4
VASP calculation (PBE-GGA) on a relaxed structure of NdU2Sn9.

It has space group P4/mmm (No. 123), with a = 4.6693 Å, b = 4.6693 Å, c = 14.0826 Å, α = 90.00°, β = 90.00° and γ = 90.00°. The asymmetric unit holds Nd at (0.0000, 0.0000, 0.0000), U at (0.0000, 0.0000, 0.3387), Sn at (0.0000, 0.5000, 0.1735), Sn at (0.0000, 0.5000, 0.5000), Sn at (0.5000, 0.5000, 0.0000) and Sn at (0.5000, 0.5000, 0.3362).

# 5
VASP calculation (PBE-GGA) on a relaxed structure of Nd2VSn.

It has space group R-3m (No. 166, hexagonal axes), with a = 3.3713 Å, b = 3.3713 Å, c = 33.9479 Å, α = 90.00°, β = 90.00° and γ = 120.00°. The asymmetric unit holds Nd at (0.0000, 0.0000, 0.0855), V at (0.0000, 0.0000, 0.0000) and Sn at (0.0000, 0.0000, 0.5000).

# 6
VASP calculation (PBE-GGA) on a relaxed structure of NdVSn.

It has space group P4/nmm (No. 129, origin choice 2), with a = 4.2018 Å, b = 4.2018 Å, c = 8.2069 Å, α = 90.00°, β = 90.00° and γ = 90.00°. The asymmetric unit holds Nd at (0.2500, 0.2500, 0.1530), V at (0.2500, 0.7500, 0.5000) and Sn at (0.2500, 0.2500, 0.7236).

# 7
VASP calculation (PBE-GGA) on a relaxed structure of Nd2SnW.

It has space group R-3m (No. 166, hexagonal axes), with a = 3.2195 Å, b = 3.2195 Å, c = 34.4093 Å, α = 90.00°, β = 90.00° and γ = 120.00°. The asymmetric unit holds Nd at (0.0000, 0.0000, 0.0850), Sn at (0.0000, 0.0000, 0.5000) and W at (0.0000, 0.0000, 0.0000).

# 8
VASP calculation (PBE-GGA) on a relaxed structure of Nd2YSn.

The value obtained for the energy above the lowest structure with this stoichiometry is 80 meV/atom.

It has space group Cmcm (No. 63), with a = 4.3093 Å, b = 12.0402 Å, c = 10.0404 Å, α = 90.00°, β = 90.00° and γ = 90.00°. The asymmetric unit holds Nd at (0.0000, 0.1376, 0.0495), Y at (0.0000, 0.4394, 0.2500) and Sn at (0.0000, 0.2541, 0.7500).

# 9
VASP calculation (PBE-GGA) on a relaxed structure of NdY2Sn.

The value obtained for the energy above the lowest structure with this stoichiometry is 21 meV/atom.

It has space group Cmcm (No. 63), with a = 4.2839 Å, b = 12.5463 Å, c = 9.5015 Å, α = 90.00°, β = 90.00° and γ = 90.00°. The asymmetric unit holds Nd at (0.0000, 0.0573, 0.2500), Y at (0.0000, 0.3619, 0.0493) and Sn at (0.0000, 0.2432, 0.7500).

# 10
VASP calculation (PBE-GGA) on a relaxed structure of Nd5YSn4.

It has space group C2/m (No. 12), with a = 16.5843 Å, b = 5.4234 Å, c = 7.2889 Å, α = 90.00°, β = 90.62° and γ = 90.00°. The asymmetric unit holds Nd at (0.0000, 0.0000, 0.0000), Nd at (0.1657, 0.5000, 0.9972), Nd at (0.1671, 0.5000, 0.5071), Y at (0.0000, 0.0000, 0.5000), Sn at (0.0080, 0.5000, 0.2571) and Sn at (0.1736, 0.0000, 0.7489).

# 11
VASP calculation (PBE-GGA) on a relaxed structure of Nd3Y2Sn3.

It has space group P6_3/mcm (No. 193), with a = 9.1798 Å, b = 9.1798 Å, c = 6.6972 Å, α = 90.00°, β = 90.00° and γ = 120.00°. The asymmetric unit holds Nd at (0.0000, 0.2422, 0.2500), Y at (0.3333, 0.6667, 0.0000) and Sn at (0.0000, 0.3976, 0.7500).

# 12
VASP calculation (PBE-GGA) on a relaxed structure of Nd4YSn4.

It has space group P4_2/n (No. 86, origin choice 2), with a = 9.5536 Å, b = 9.5536 Å, c = 6.4632 Å, α = 90.00°, β = 90.00° and γ = 90.00°. The asymmetric unit holds Nd at (0.0397, 0.6679, 0.1171), Y at (0.2500, 0.2500, 0.2500) and Sn at (0.0223, 0.6418, 0.6108).

# 13
VASP calculation (PBE-GGA) on a relaxed structure of NdY4Sn4.

It has space group P4_2/n (No. 86, origin choice 2), with a = 9.8879 Å, b = 9.8879 Å, c = 6.1428 Å, α = 90.00°, β = 90.00° and γ = 90.00°. The asymmetric unit holds Nd at (0.2500, 0.2500, 0.2500), Y at (0.0945, 0.6475, 0.1406) and Sn at (0.0364, 0.6127, 0.6496).

# 14
VASP calculation (PBE-GGA) on a relaxed structure of NdY3Sn2.

It has space group Ibam (No. 72), with a = 7.4971 Å, b = 14.5622 Å, c = 7.4324 Å, α = 90.00°, β = 90.00° and γ = 90.00°. The asymmetric unit holds Nd at (0.0000, 0.0000, 0.0000), Y at (0.0000, 0.2145, 0.2500), Y at (0.0000, 0.5000, 0.2500) and Sn at (0.1856, 0.3577, 0.0000).

# 15
VASP calculation (PBE-GGA) on a relaxed structure of Nd4Y3Sn4.

It has space group Immm (No. 71), with a = 3.5717 Å, b = 9.6630 Å, c = 19.1876 Å, α = 90.00°, β = 90.00° and γ = 90.00°. The asymmetric unit holds Nd at (0.0000, 0.1762, 0.1636), Y at (0.0000, 0.0000, 0.4096), Y at (0.0000, 0.5000, 0.5000), Sn at (0.0000, 0.2786, 0.0000) and Sn at (0.0000, 0.5000, 0.2233).

# 16
VASP calculation (PBE-GGA) on a relaxed structure of NdY2Sn.

The value obtained for the energy above the lowest structure with this stoichiometry is 264 meV/atom.

It has space group R3m (No. 160, hexagonal axes), with a = 5.1792 Å, b = 5.1792 Å, c = 17.2040 Å, α = 90.00°, β = 90.00° and γ = 120.00°. The asymmetric unit holds Nd at (0.0000, 0.0000, 0.0000), Y at (0.0000, 0.0000, 0.5570), Y at (0.0000, 0.0000, 0.7833) and Sn at (0.0000, 0.0000, 0.1982).

# 17
VASP calculation (PBE-GGA) on a relaxed structure of Nd2YSn.

The value obtained for the energy above the lowest structure with this stoichiometry is 432 meV/atom.

It has space group R-3m (No. 166, hexagonal axes), with a = 3.5222 Å, b = 3.5222 Å, c = 36.2768 Å, α = 90.00°, β = 90.00° and γ = 120.00°. The asymmetric unit holds Nd at (0.0000, 0.0000, 0.0936), Y at (0.0000, 0.0000, 0.0000) and Sn at (0.0000, 0.0000, 0.5000).

# 18
VASP calculation (PBE-GGA) on a relaxed structure of Nd3YSn2.

It has space group C2/m (No. 12), with a = 18.3581 Å, b = 4.6190 Å, c = 9.9122 Å, α = 90.00°, β = 115.79° and γ = 90.00°. The asymmetric unit holds Nd at (0.0514, 0.0000, 0.1881), Nd at (0.1509, 0.5000, 0.9807), Nd at (0.1906, 0.5000, 0.3907), Y at (0.1137, 0.0000, 0.6198), Sn at (0.0031, 0.5000, 0.3548) and Sn at (0.2483, 0.0000, 0.2240).

# 19
VASP calculation (PBE-GGA) on a relaxed structure of Nd4YSn2.

It has space group R-3m (No. 166, hexagonal axes), with a = 5.3177 Å, b = 5.3177 Å, c = 30.5501 Å, α = 90.00°, β = 90.00° and γ = 120.00°. The asymmetric unit holds Nd at (0.0000, 0.0000, 0.1129), Nd at (0.0000, 0.0000, 0.2927), Y at (0.0000, 0.0000, 0.5000) and Sn at (0.0000, 0.0000, 0.3993).

# 20
VASP calculation (PBE-GGA) on a relaxed structure of NdY3Sn3.

It has space group P6_3/m (No. 176), with a = 9.2375 Å, b = 9.2375 Å, c = 5.4360 Å, α = 90.00°, β = 90.00° and γ = 120.00°. The asymmetric unit holds Nd at (0.3333, 0.6667, 0.2500), Y at (0.0025, 0.2399, 0.2500) and Sn at (0.0730, 0.4491, 0.7500).

no.,ρ (g cm⁻³),E_tot (eV per atom)
1,7.7,-3.847
2,8.2,-5.010
3,9.3,-5.877
4,9.1,-5.532
5,6.8,-5.242
6,7.2,-6.202
7,9.5,-5.961
8,6.3,-5.361
9,5.7,-5.829
10,6.5,-5.192
11,6.6,-5.638
12,6.4,-5.110
13,5.4,-5.651
14,5.3,-5.713
15,6.6,-5.525
16,5.5,-5.586
17,6.3,-5.008
18,6.7,-5.314
19,6.0,-5.037
20,6.3,-5.733